First-principles (PBE) data for a geometry-optimized PmPuCoRu structure, as listed in the Alexandria database.

## Properties
Energy relative to the elements = -0.128 eV per formula unit
Uncorrected energy = -8.898 eV per atom
Crystal system = cubic
Magnetization = 3.50 μB/f.u.
DOS at the Fermi energy = 5.7 states/eV/f.u.

abc: 4.8284 4.8284 4.8284
angles: 60.00 60.00 60.00
Last column: nearest neighbours and their distance in Å.
Sites, in units of the cell vectors:
Pm 0.0000 0.0000 0.0000  4 Co 2.96, 4 Ru 2.96
Pu 0.5000 0.5000 0.5000  4 Co 2.96, 4 Ru 2.96
Co 0.7500 0.7500 0.7500  4 Pu 2.96, 4 Pm 2.96
Ru 0.2500 0.2500 0.2500  4 Pu 2.96, 4 Pm 2.96

=====

First-principles (PBE) data for a geometry-optimized RbPm2Co structure, as listed in the Alexandria database.

## Properties
Energy relative to the elements = 0.459 eV per formula unit
Uncorrected energy = -4.279 eV per atom
Crystal system = trigonal
Magnetization = 0.00 μB/f.u.
DOS at the Fermi energy = 4.1 states/eV/f.u.

abc: 11.5544 11.5544 11.5544
angles: 20.25 20.25 20.25
Last column: nearest neighbours and their distance in Å.
Sites, in units of the cell vectors:
Rb 0.0000 0.0000 0.0000  6 Rb 4.06, 2 Pm 4.25
Pm 0.1252 0.1252 0.1252  3 Co 2.74
Pm 0.8748 0.8748 0.8748  3 Co 2.74
Co 0.5000 0.5000 0.5000  6 Pm 2.74

=====

First-principles (PBE) data for a geometry-optimized PmCoReSi3 structure, as listed in the Alexandria database.

## Properties
Uncorrected energy = -7.063 eV per atom
Crystal system = orthorhombic
Magnetization = 0.00 μB/f.u.
Formation energy without anion corrections = -301 meV per atom
DOS at the Fermi energy = 3.7 states/eV/f.u.

abc: 6.6305 6.6305 6.0075
angles: 90.00 90.00 124.69
Last column: nearest neighbours and their distance in Å.
Sites, in units of the cell vectors:
Pm 0.2488 0.7512 0.7500  4 Si 3.02-3.09, 1 Re 3.30
Pm 0.7512 0.2488 0.2500  4 Si 3.02-3.09, 1 Re 3.30
Co 0.1003 0.8997 0.2500  5 Si 2.09-2.26
Co 0.8997 0.1003 0.7500  5 Si 2.09-2.26
Re 0.4703 0.5297 0.2500  5 Si 2.25-2.43
Re 0.5297 0.4703 0.7500  5 Si 2.25-2.43
Si 0.1957 0.1957 0.0000  2 Co 2.26, 1 Si 2.41, 2 Re 2.43
Si 0.1957 0.1957 0.5000  2 Co 2.26, 1 Si 2.41, 2 Re 2.43
Si 0.2785 0.7215 0.2500  1 Co 2.09, 1 Re 2.25
Si 0.7215 0.2785 0.7500  1 Co 2.09, 1 Re 2.25
Si 0.8043 0.8043 0.0000  2 Co 2.26, 1 Si 2.41, 2 Re 2.43
Si 0.8043 0.8043 0.5000  2 Co 2.26, 1 Si 2.41, 2 Re 2.43

=====

Repeat the third record exactly.
First-principles (PBE) data for a geometry-optimized PmCoReSi3 structure, as listed in the Alexandria database.

## Properties
Uncorrected energy = -7.063 eV per atom
Crystal system = orthorhombic
Magnetization = 0.00 μB/f.u.
Formation energy without anion corrections = -301 meV per atom
DOS at the Fermi energy = 3.7 states/eV/f.u.

abc: 6.6305 6.6305 6.0075
angles: 90.00 90.00 124.69
Last column: nearest neighbours and their distance in Å.
Sites, in units of the cell vectors:
Pm 0.2488 0.7512 0.7500  4 Si 3.02-3.09, 1 Re 3.30
Pm 0.7512 0.2488 0.2500  4 Si 3.02-3.09, 1 Re 3.30
Co 0.1003 0.8997 0.2500  5 Si 2.09-2.26
Co 0.8997 0.1003 0.7500  5 Si 2.09-2.26
Re 0.4703 0.5297 0.2500  5 Si 2.25-2.43
Re 0.5297 0.4703 0.7500  5 Si 2.25-2.43
Si 0.1957 0.1957 0.0000  2 Co 2.26, 1 Si 2.41, 2 Re 2.43
Si 0.1957 0.1957 0.5000  2 Co 2.26, 1 Si 2.41, 2 Re 2.43
Si 0.2785 0.7215 0.2500  1 Co 2.09, 1 Re 2.25
Si 0.7215 0.2785 0.7500  1 Co 2.09, 1 Re 2.25
Si 0.8043 0.8043 0.0000  2 Co 2.26, 1 Si 2.41, 2 Re 2.43
Si 0.8043 0.8043 0.5000  2 Co 2.26, 1 Si 2.41, 2 Re 2.43

=====

Question: Among the records above, which one has the lowest uncorrected energy?
Answer: PmPuCoRu

=====

Question: Which of these has the lowest uncorrected energy?
Answer: PmPuCoRu